InCo: optimized geometry, PBE.

Cell: 3.8168 3.8168 8.7237 Å, 90.00 90.00 90.00°
With the nearest neighbours (Å) after each atom.
Space group I4_1/amd (No. 141, origin choice 2)
One atom of each set of equivalent atoms:
In  0.0000  0.2500  0.3750 (multiplicity 4)  8 Co 2.70-2.90, 4 In 2.90
Co  0.0000  0.2500  0.8750 (multiplicity 4)  8 In 2.70-2.90, 4 Co 2.90

* formation enthalpy at 0 K: 300.0 meV/atom
* density of states at the Fermi level: 13.00 states/eV/cell